Version a
VASP calculation (PBE-GGA) on BeAgBi3 after structural relaxation.

Structure (POSCAR):
```
BeAgBi3
1.0
5.500 0.000 0.000
0.000 5.500 0.000
0.000 0.000 5.500
Be Ag Bi
1 1 3
Cartesian
0.000 0.000 0.000
2.750 2.750 2.750
0.000 2.750 2.750
2.750 0.000 2.750
2.750 2.750 0.000
```

Properties
Size of the total moment = 0.00 μB/f.u.
Mass density = 7.4 g cm⁻³
Symmetry = Pm-3m, No. 221
Fermi-level density of states = 0.8766 states/eV/atom

Version b
VASP calculation (PBE-GGA) on BeAgBi3 after structural relaxation.

Structure (POSCAR):
```
BeAgBi3
1.0
5.125 0.000 0.000
0.000 5.125 0.000
0.000 0.000 5.125
Be Ag Bi
1 1 3
Cartesian
0.000 0.000 0.000
2.562 2.562 2.562
0.000 0.000 2.562
0.000 2.562 0.000
2.562 0.000 0.000
```

Properties
Size of the total moment = 0.00 μB/f.u.
Mass density = 9.2 g cm⁻³
Symmetry = Pm-3m, No. 221
Fermi-level density of states = 0.6886 states/eV/atom

It turns out version b is the most stable, with the second structure 542 meV/atom higher.

Version a
VASP calculation (PBE-GGA) on BeAg3Bi after structural relaxation.

Structure (POSCAR):
```
BeAg3Bi
1.0
5.445 0.000 0.000
0.000 5.445 0.000
0.000 0.000 5.445
Be Ag Bi
1 3 1
Cartesian
0.000 0.000 0.000
0.000 2.723 2.723
2.723 0.000 2.723
2.723 2.723 0.000
2.723 2.723 2.723
```

Properties
Size of the total moment = 0.00 μB/f.u.
Mass density = 5.6 g cm⁻³
Symmetry = Pm-3m, No. 221
Fermi-level density of states = 0.0012 states/eV/atom

Version b
VASP calculation (PBE-GGA) on BeAg3Bi after structural relaxation.

Structure (POSCAR):
```
BeAg3Bi
1.0
4.608 0.000 0.000
0.000 4.608 0.000
0.000 0.000 4.608
Be Ag Bi
1 3 1
Cartesian
0.000 0.000 0.000
0.000 0.000 2.304
0.000 2.304 0.000
2.304 0.000 0.000
2.304 2.304 2.304
```

Properties
Size of the total moment = 0.00 μB/f.u.
Mass density = 9.2 g cm⁻³
Symmetry = Pm-3m, No. 221
Fermi-level density of states = 0.2508 states/eV/atom

It turns out version b is the most stable, with the second structure 770 meV/atom higher.

Version a
VASP calculation (PBE-GGA) on TaBeAg2Bi after structural relaxation.

Structure (POSCAR):
```
TaBeAg2Bi
1.0
4.383 0.000 0.000
0.000 4.383 0.000
0.000 0.000 5.149
Ta Be Ag Bi
1 1 2 1
Cartesian
0.000 0.000 0.000
2.191 2.191 2.575
0.000 2.191 2.575
2.191 0.000 2.575
2.191 2.191 0.000
```

Properties
Size of the total moment = 1.09 μB/f.u.
Mass density = 10.3 g cm⁻³
Symmetry = P4/mmm, No. 123
Fermi-level density of states = 1.0289 states/eV/atom

Version b
VASP calculation (PBE-GGA) on TaBeAg2Bi after structural relaxation.

Structure (POSCAR):
```
TaBeAg2Bi
1.0
4.466 0.000 0.000
0.000 4.466 0.000
0.000 0.000 4.739
Ta Be Ag Bi
1 1 2 1
Cartesian
0.000 0.000 0.000
0.000 0.000 2.370
0.000 2.233 2.370
2.233 0.000 2.370
2.233 2.233 0.000
```

Properties
Size of the total moment = 0.00 μB/f.u.
Mass density = 10.8 g cm⁻³
Symmetry = P4/mmm, No. 123
Fermi-level density of states = 0.7806 states/eV/atom

It turns out version b is the most stable, with the second structure 411 meV/atom higher.